[1]
A relaxed CaY2CdAu4 crystal, computed with PBE-GGA.

Summary:
E in eV/atom: -4.3669
E_form in eV per atom: -0.75
SG: R-3m

Cell: 5.019 5.019 8.715 Å, 73.27 73.27 60.00°
Atoms (fractional coordinates):
1 Y 0.244 0.244 0.267
2 Ca 0.000 0.000 0.000
3 Cd 0.500 0.500 0.500
4 Au 0.373 0.373 0.881
5 Au 0.877 0.877 0.368
6 Au 0.627 0.627 0.119
7 Y 0.756 0.756 0.733
8 Au 0.123 0.123 0.632

=====

[2]
A relaxed Ca2Zn4CdAu3 crystal, computed with PBE-GGA.

Summary:
E in eV/atom: -2.4129
E_form in eV per atom: -0.43
SG: P-4m2

Cell: 4.167 4.167 12.032 Å, 90.00 90.00 90.00°
Atoms (fractional coordinates):
1 Cd 0.500 0.500 0.500
2 Au 0.500 0.000 0.859
3 Au 0.000 0.000 0.500
4 Zn 0.500 0.500 0.000
5 Au 0.000 0.500 0.141
6 Zn 0.000 0.000 0.000
7 Ca 0.500 0.000 0.239
8 Zn 0.000 0.500 0.354
9 Zn 0.500 0.000 0.646
10 Ca 0.000 0.500 0.761

=====

[3]
A relaxed Ca2Zn2CdAu5 crystal, computed with PBE-GGA.

Summary:
E in eV/atom: -2.8516
E_form in eV per atom: -0.47
SG: P4/mbm

Cell: 3.894 10.232 10.232 Å, 90.00 90.00 90.00°
Atoms (fractional coordinates):
1 Zn 0.000 0.122 0.622
2 Au 0.500 0.796 0.939
3 Ca 0.000 0.677 0.177
4 Zn 0.000 0.622 0.878
5 Zn 0.000 0.878 0.378
6 Ca 0.000 0.323 0.823
7 Cd 0.000 0.000 0.000
8 Cd 0.000 0.500 0.500
9 Au 0.500 0.439 0.296
10 Au 0.500 0.296 0.561
11 Ca 0.000 0.823 0.677
12 Au 0.500 0.704 0.439
13 Au 0.500 0.561 0.704
14 Zn 0.000 0.378 0.122
15 Ca 0.000 0.177 0.323
16 Au 0.500 0.000 0.500
17 Au 0.500 0.204 0.061
18 Au 0.500 0.500 0.000
19 Au 0.500 0.061 0.796
20 Au 0.500 0.939 0.204

=====

[4]
A relaxed Ca3Zn2CdAu9 crystal, computed with PBE-GGA.

Summary:
E in eV/atom: -2.8298
E_form in eV per atom: -0.23
SG: P-3m1

Cell: 8.013 8.013 6.625 Å, 90.00 90.00 120.00°
Atoms (fractional coordinates):
1 Au 0.173 0.827 0.320
2 Cd 0.000 0.000 0.500
3 Au 0.173 0.346 0.320
4 Au 0.000 0.500 0.000
5 Ca 0.000 0.000 0.000
6 Zn 0.667 0.333 0.854
7 Au 0.500 0.500 0.000
8 Zn 0.333 0.667 0.146
9 Au 0.500 0.000 0.000
10 Au 0.827 0.654 0.680
11 Au 0.827 0.173 0.680
12 Au 0.346 0.173 0.680
13 Ca 0.333 0.667 0.659
14 Ca 0.667 0.333 0.341
15 Au 0.654 0.827 0.320

=====

[5]
A relaxed CaZn2CdAu4 crystal, computed with PBE-GGA.

Summary:
E in eV/atom: -2.6410
E_form in eV per atom: -0.32
SG: R-3m

Cell: 4.815 4.815 8.075 Å, 72.65 72.65 60.00°
Atoms (fractional coordinates):
1 Au 0.623 0.623 0.131
2 Ca 0.000 0.000 0.000
3 Au 0.132 0.132 0.603
4 Au 0.377 0.377 0.869
5 Zn 0.255 0.255 0.236
6 Zn 0.745 0.745 0.764
7 Au 0.868 0.868 0.397
8 Cd 0.500 0.500 0.500

=====

[6]
A relaxed Ca2ZnCd2Au4 crystal, computed with PBE-GGA.

Summary:
E in eV/atom: -2.6769
E_form in eV per atom: -0.43
SG: I4/mmm

Cell: 6.482 6.482 6.482 Å, 98.05 115.47 115.47°
Atoms (fractional coordinates):
1 Ca 0.500 0.750 0.250
2 Au 0.520 0.260 0.260
3 Zn 0.000 0.000 0.000
4 Ca 0.500 0.250 0.750
5 Cd 0.000 0.692 0.692
6 Au 0.480 0.740 0.740
7 Au 0.000 0.740 0.260
8 Cd 0.000 0.308 0.308
9 Au 0.000 0.260 0.740

=====

[7]
A relaxed CaZnCdAu crystal, computed with PBE-GGA.

Summary:
E in eV/atom: -2.2351
E_form in eV per atom: -0.37
SG: P4/nmm

Cell: 4.275 4.275 10.184 Å, 90.00 90.00 90.00°
Atoms (fractional coordinates):
1 Ca 0.250 0.250 0.756
2 Cd 0.250 0.750 0.500
3 Cd 0.750 0.250 0.500
4 Au 0.250 0.250 0.162
5 Au 0.750 0.750 0.838
6 Zn 0.750 0.250 0.000
7 Ca 0.750 0.750 0.244
8 Zn 0.250 0.750 0.000

=====

[8]
A relaxed Ca3Zn2Cd2Au4 crystal, computed with PBE-GGA.

Summary:
E in eV/atom: -2.6609
E_form in eV per atom: -0.53
SG: P-3m1

Cell: 4.639 4.639 13.863 Å, 90.00 90.00 120.00°
Atoms (fractional coordinates):
1 Zn 0.667 0.333 0.857
2 Au 0.333 0.667 0.873
3 Zn 0.333 0.667 0.143
4 Au 0.333 0.667 0.358
5 Ca 0.000 0.000 0.000
6 Ca 0.000 0.000 0.736
7 Ca 0.000 0.000 0.264
8 Cd 0.333 0.667 0.566
9 Au 0.667 0.333 0.127
10 Au 0.667 0.333 0.642
11 Cd 0.667 0.333 0.434

=====

[9]
A relaxed CaZnCd2Au5 crystal, computed with PBE-GGA.

Summary:
E in eV/atom: -2.6186
E_form in eV per atom: -0.23
SG: Immm

Cell: 4.913 5.688 8.333 Å, 109.96 107.15 90.00°
Atoms (fractional coordinates):
1 Au 0.358 0.118 0.715
2 Au 0.000 0.000 0.000
3 Ca 0.000 0.500 0.000
4 Cd 0.808 0.808 0.617
5 Au 0.642 0.882 0.285
6 Zn 0.500 0.000 0.000
7 Au 0.642 0.402 0.285
8 Cd 0.192 0.192 0.383
9 Au 0.358 0.598 0.715

=====

[10]
A relaxed CaZn2Cd2Au2 crystal, computed with PBE-GGA.

Summary:
E in eV/atom: -2.2072
E_form in eV per atom: -0.36
SG: R-3m

Cell: 4.551 4.551 8.665 Å, 74.77 74.77 60.00°
Atoms (fractional coordinates):
1 Zn 0.408 0.408 0.775
2 Cd 0.866 0.866 0.403
3 Au 0.745 0.745 0.766
4 Cd 0.134 0.134 0.597
5 Au 0.255 0.255 0.234
6 Ca 0.000 0.000 0.000
7 Zn 0.592 0.592 0.225

=====

[11]
A relaxed Ca4ZnCdAu2 crystal, computed with PBE-GGA.

Summary:
E in eV/atom: -2.6145
E_form in eV per atom: -0.52
SG: R-3m

Cell: 5.209 5.209 9.061 Å, 73.29 73.29 60.00°
Atoms (fractional coordinates):
1 Zn 0.500 0.500 0.500
2 Au 0.251 0.251 0.247
3 Ca 0.378 0.378 0.867
4 Cd 0.000 0.000 0.000
5 Ca 0.622 0.622 0.133
6 Ca 0.873 0.873 0.382
7 Ca 0.127 0.127 0.618
8 Au 0.749 0.749 0.753

=====

[12]
A relaxed Ca2ZnCdAu6 crystal, computed with PBE-GGA.

Summary:
E in eV/atom: -2.7338
E_form in eV per atom: -0.15
SG: Fm-3m

Cell: 7.127 7.127 7.127 Å, 60.00 60.00 90.00°
Atoms (fractional coordinates):
1 Cd 0.000 0.000 0.000
2 Zn 0.500 0.500 0.000
3 Ca 0.250 0.750 0.500
4 Au 0.259 0.741 0.000
5 Ca 0.750 0.250 0.500
6 Au 0.259 0.259 0.000
7 Au 0.259 0.259 0.482
8 Au 0.741 0.259 0.000
9 Au 0.741 0.741 0.000
10 Au 0.741 0.741 0.518

=====

[13]
A relaxed CaZn2Cd2Au crystal, computed with PBE-GGA.

Summary:
E in eV/atom: -1.7564
E_form in eV per atom: -0.15
SG: P4/mmm

Cell: 4.935 4.935 5.970 Å, 90.00 90.00 90.00°
Atoms (fractional coordinates):
1 Au 0.000 0.000 0.000
2 Cd 0.500 0.500 0.733
3 Ca 0.000 0.000 0.500
4 Zn 0.500 0.000 0.000
5 Zn 0.000 0.500 0.000
6 Cd 0.500 0.500 0.267

=====

[14]
A relaxed CaZnCd2Au2 crystal, computed with PBE-GGA.

Summary:
E in eV/atom: -2.0730
E_form in eV per atom: -0.13
SG: I4/mmm

Cell: 5.485 5.485 6.692 Å, 114.19 114.19 90.00°
Atoms (fractional coordinates):
1 Au 0.771 0.771 0.543
2 Ca 0.500 0.500 0.000
3 Au 0.229 0.229 0.457
4 Zn 0.000 0.000 0.000
5 Cd 0.250 0.750 0.500
6 Cd 0.750 0.250 0.500

=====

[15]
A relaxed CaZnCd2Au4 crystal, computed with PBE-GGA.

Summary:
E in eV/atom: -2.6238
E_form in eV per atom: -0.35
SG: R-3m

Cell: 4.831 4.831 8.305 Å, 73.09 73.09 60.00°
Atoms (fractional coordinates):
1 Au 0.387 0.387 0.840
2 Au 0.613 0.613 0.160
3 Zn 0.500 0.500 0.500
4 Cd 0.745 0.745 0.764
5 Ca 0.000 0.000 0.000
6 Cd 0.255 0.255 0.236
7 Au 0.868 0.868 0.396
8 Au 0.132 0.132 0.604

=====

[16]
A relaxed CaCe2Au8 crystal, computed with PBE-GGA.

Summary:
E in eV/atom: -4.2671
E_form in eV per atom: -0.62
SG: C2/m

Cell: 5.264 6.091 8.709 Å, 110.68 107.83 89.37°
Each line ends with the local moment (μB).
Atoms (fractional coordinates):
1 Au 0.250 0.502 0.000  0.00
2 Ce 0.684 0.684 0.367  0.69
3 Au 0.701 0.201 0.401  0.00
4 Au 0.138 0.363 0.267  0.00
5 Au 0.299 0.799 0.599  0.00
6 Au 0.862 0.637 0.733  0.00
7 Au 0.871 0.096 0.733  0.00
8 Au 0.129 0.904 0.267  0.00
9 Ce 0.316 0.316 0.633  0.69
10 Ca 0.500 0.000 0.000  0.01
11 Au 0.750 0.498 0.000  0.00

=====

[17]
A relaxed CaCeAu2 crystal, computed with PBE-GGA.

Summary:
E in eV/atom: -4.2168
E_form in eV per atom: -0.59
SG: R3m

Cell: 4.172 4.172 7.871 Å, 74.63 74.63 60.00°
Each line ends with the local moment (μB).
Atoms (fractional coordinates):
1 Ce 0.668 0.668 0.995  0.81
2 Ca 0.498 0.498 0.507  0.01
3 Au 0.251 0.251 0.246  0.00
4 Au 0.082 0.082 0.753  0.00

=====

[18]
A relaxed CaCe4Au5 crystal, computed with PBE-GGA.

Summary:
E in eV/atom: -4.8469
E_form in eV per atom: -0.63
SG: P4/mmm

Cell: 3.646 3.646 18.843 Å, 90.00 90.00 90.00°
Each line ends with the local moment (μB).
Atoms (fractional coordinates):
1 Ce 0.000 0.000 0.400  0.86
2 Au 0.500 0.500 0.299  -0.01
3 Ce 0.000 0.000 0.198  0.81
4 Au 0.500 0.500 0.701  -0.01
5 Au 0.500 0.500 0.500  0.00
6 Ce 0.000 0.000 0.600  0.86
7 Ce 0.000 0.000 0.802  0.81
8 Au 0.500 0.500 0.898  0.00
9 Ca 0.000 0.000 0.000  0.00
10 Au 0.500 0.500 0.102  0.00

=====

[19]
A relaxed CaCe2Au6 crystal, computed with PBE-GGA.

Summary:
Relative energy among the computed polymorphs in meV per atom: 0
E in eV/atom: -4.4009
E_form in eV per atom: -0.67
SG: P6/mmm

Cell: 3.495 8.294 8.294 Å, 60.02 89.98 89.98°
Each line ends with the local moment (μB).
Atoms (fractional coordinates):
1 Au 0.501 0.333 0.000  0.01
2 Ce 0.000 0.667 0.667  0.87
3 Au 0.499 0.000 0.667  0.01
4 Au 0.500 0.667 0.333  0.01
5 Au 0.500 0.333 0.667  0.01
6 Au 0.501 0.000 0.333  0.01
7 Ce 0.000 0.333 0.333  0.87
8 Au 0.499 0.667 0.000  0.01
9 Ca 0.000 0.000 0.000  0.01

=====

[20]
A relaxed CaCe2Au2 crystal, computed with PBE-GGA.

Summary:
E in eV/atom: -4.6257
E_form in eV per atom: -0.54
SG: C2/m

Cell: 3.609 7.417 10.643 Å, 118.35 99.76 90.00°
Each line ends with the local moment (μB).
Atoms (fractional coordinates):
1 Au 0.894 0.864 0.789  0.00
2 Ce 0.701 0.520 0.402  0.44
3 Ce 0.701 0.020 0.402  0.44
4 Au 0.106 0.636 0.211  0.00
5 Ce 0.299 0.480 0.598  0.44
6 Ce 0.299 0.980 0.598  0.44
7 Au 0.106 0.136 0.211  0.00
8 Ca 0.500 0.250 0.000  0.00
9 Ca 0.500 0.750 0.000  0.00
10 Au 0.894 0.364 0.789  0.00